A relaxed RbMg14C crystal. Source: Alexandria via LeMat-Bulk, functional GGA-PBE.

Offset from the most stable computed form, meV per atom: 0
Space-group type: Amm2

Cell and atoms, written as extended XYZ:
```
16
Lattice="3.100 -5.969 0.000 3.100 5.969 0.000 0.000 0.000 10.342" Properties=species:S:1:pos:R:3 pbc="T T T"
Mg 4.674 -0.829 0.000
Mg 3.100 -3.981 0.000
Mg 1.526 -0.829 0.000
Mg 3.100 3.980 2.682
Mg 4.562 0.969 7.718
Mg 4.562 0.969 2.624
Mg 3.100 3.980 7.660
Rb 3.100 -3.677 5.171
Mg 3.100 -1.940 7.995
C 3.100 0.737 5.171
Mg 4.660 -0.746 5.171
Mg 1.639 0.969 2.624
Mg 3.100 2.115 0.000
Mg 3.100 -1.940 2.346
Mg 1.639 0.969 7.718
Mg 1.540 -0.746 5.171
```



A relaxed RbMg2C crystal. Source: Alexandria via LeMat-Bulk, functional GGA-PBE.

Space-group type: I4_1/amd

Cell and atoms, written as extended XYZ:
```
8
Lattice="6.938 0.000 0.000 0.000 6.938 0.000 3.469 3.469 4.916" Properties=species:S:1:pos:R:3 pbc="T T T"
Mg 8.673 6.936 3.687
Rb 6.938 3.469 2.458
Mg 5.204 6.940 3.687
Mg 3.467 1.735 1.229
Mg 3.471 5.204 1.229
Rb 0.000 0.000 0.000
C 3.469 3.469 0.000
C 3.469 6.938 2.458
```



How do the records compare in total magnetic moment? In the order shown, they have 0.000; 0.000 μB per formula unit.
How do the records compare in energy of formation from the pure elements? In the order shown, they have 0.328; 0.496 eV per atom.
How do the records compare in DOS at the Fermi energy? In the order shown, they have 8.64; 0.49 states/eV/f.u..